A geometry-optimized PrNd2WO8 structure, computed with PBE with a Hubbard U.

Results
Size of the total moment = 0.97 μB per formula unit
Crystal system = orthorhombic
Fermi-level density of states = 12.7 states/eV/cell
E = -7.81 eV/atom

The structure in CIF format:
```
data_PrNd2WO8
_chemical_formula_sum 'Pr2 Nd4 W2 O16'
_symmetry_space_group_name_H-M 'C m m m'
_symmetry_Int_Tables_number 65
_symmetry_space_group_name_Hall '-C 2 2'
_cell_length_a 7.3640
_cell_length_b 7.4111
_cell_length_c 7.1197
_cell_angle_alpha 90.00
_cell_angle_beta 90.00
_cell_angle_gamma 90.00
loop_
_atom_site_label
_atom_site_fract_x
_atom_site_fract_y
_atom_site_fract_z
Pr1 0.0000 0.0000 0.0000
Nd1 0.0000 0.5000 0.2554
W1 0.0000 0.0000 0.5000
O1 0.0000 0.1792 0.2970
O2 0.1886 0.5000 0.0000
O3 0.2342 0.5000 0.5000
```